No. 1
DFT (PBE) results for a relaxed CeGa3Pd3 crystal.

Energy above the most stable polymorph in this dataset: 0.258 eV per atom
Space-group type: Pm-3n
Energy relative to the elements: -0.322 eV per atom

abc: 6.8225 6.8225 6.8225
angles: 90.00 90.00 90.00
Fractional positions:
Ce 0.0000 0.0000 0.0000
Ce 0.5000 0.5000 0.5000
Ga 0.0000 0.2500 0.5000
Ga 0.0000 0.7500 0.5000
Ga 0.2500 0.5000 0.0000
Ga 0.5000 0.0000 0.2500
Ga 0.5000 0.0000 0.7500
Ga 0.7500 0.5000 0.0000
Pd 0.0000 0.5000 0.2500
Pd 0.0000 0.5000 0.7500
Pd 0.2500 0.0000 0.5000
Pd 0.5000 0.2500 0.0000
Pd 0.5000 0.7500 0.0000
Pd 0.7500 0.0000 0.5000

---

No. 2
DFT (PBE) results for a relaxed Ce2Ga3Pd5 crystal.

Energy above the most stable polymorph in this dataset: 0.000 eV per atom
Space-group type: Ibam
Energy relative to the elements: -0.738 eV per atom

abc: 8.5923 8.5923 8.5923
angles: 100.67 92.84 139.93
Fractional positions:
Ce 0.1347 0.2252 0.3598
Ce 0.3653 0.7252 0.0905
Ce 0.6347 0.2748 0.9095
Ce 0.8653 0.7748 0.6402
Ga 0.1433 0.8963 0.0396
Ga 0.2500 0.7500 0.5000
Ga 0.3567 0.3963 0.7529
Ga 0.6433 0.6037 0.2471
Ga 0.7500 0.2500 0.5000
Ga 0.8567 0.1037 0.9604
Pd 0.0344 0.7500 0.2844
Pd 0.0943 0.6753 0.7696
Pd 0.2500 0.2500 0.0000
Pd 0.4057 0.1753 0.5810
Pd 0.4656 0.7500 0.7156
Pd 0.5344 0.2500 0.2844
Pd 0.5943 0.8247 0.4190
Pd 0.7500 0.7500 0.0000
Pd 0.9057 0.3247 0.2304
Pd 0.9656 0.2500 0.7156

---

No. 3
DFT (PBE) results for a relaxed CeGa8Pd2 crystal.

Space-group type: P4/mmm
Energy relative to the elements: -0.107 eV per atom

abc: 5.6443 5.6443 8.0802
angles: 90.00 90.00 90.00
Fractional positions:
Ce 0.0000 0.0000 0.0000
Ga 0.2538 0.2538 0.2916
Ga 0.2538 0.2538 0.7084
Ga 0.2538 0.7462 0.2916
Ga 0.2538 0.7462 0.7084
Ga 0.7462 0.2538 0.2916
Ga 0.7462 0.2538 0.7084
Ga 0.7462 0.7462 0.2916
Ga 0.7462 0.7462 0.7084
Pd 0.0000 0.5000 0.5000
Pd 0.5000 0.0000 0.5000

---

No. 4
DFT (PBE) results for a relaxed CeGa2Pd4 crystal.

Energy above the most stable polymorph in this dataset: 0.026 eV per atom
Space-group type: P4_2/mnm
Energy relative to the elements: -0.698 eV per atom

abc: 7.8726 7.8726 4.0077
angles: 90.00 90.00 90.00
Fractional positions:
Ce 0.0000 0.0000 0.0000
Ce 0.5000 0.5000 0.5000
Ga 0.2206 0.2206 0.5000
Ga 0.2794 0.7206 0.0000
Ga 0.7206 0.2794 0.0000
Ga 0.7794 0.7794 0.5000
Pd 0.0836 0.6659 0.5000
Pd 0.1659 0.4164 0.0000
Pd 0.3341 0.9164 0.5000
Pd 0.4164 0.1659 0.0000
Pd 0.5836 0.8341 0.0000
Pd 0.6659 0.0836 0.5000
Pd 0.8341 0.5836 0.0000
Pd 0.9164 0.3341 0.5000